Below is a relaxed structure of BaSrRh2, with properties calculated at the PBE-GGA level.

It has space group C2/m (No. 12), with a = 10.889 Å, b = 4.482 Å, c = 7.300 Å, α = 90.00°, β = 128.52° and γ = 90.00°. The distinct sites, in fractional coordinates, are Ba at (0.000, 0.000, 0.000), Sr at (0.000, 0.500, 0.500) and Rh at (0.247, 0.500, 0.430).

For the excess energy over the best structure of this formula in the dataset, the calculation gives 113.7 meV per atom. The calculation puts the total energy at -4.6470 eV per atom. The formation energy from the elements is -0.3 eV per formula unit.


Below is a relaxed structure of RbAg2Se6S2, with properties calculated at the PBE-GGA level.

It has space group P-1 (No. 2), with a = 7.067 Å, b = 7.768 Å, c = 8.157 Å, α = 69.33°, β = 67.84° and γ = 65.11°. The distinct sites, in fractional coordinates, are Rb at (0.000, 0.000, 0.000), Ag at (0.010, 0.698, 0.608), Se at (0.152, 0.450, 0.049), Se at (0.215, 0.928, 0.353), Se at (0.285, 0.370, 0.506) and S at (0.423, 0.190, 0.736).

The calculation puts the total energy at -3.3711 eV per atom. The formation energy (no corrections) is -0.1136 eV per atom.


Below is a relaxed structure of AgGe2Cl, with properties calculated at the PBE-GGA level.

It has space group I-42d (No. 122), with a = 5.903 Å, b = 5.903 Å, c = 12.801 Å, α = 90.00°, β = 90.00° and γ = 90.00°. The distinct sites, in fractional coordinates, are Ag at (0.000, 0.000, 0.000), Ge at (0.211, 0.250, 0.125) and Cl at (0.000, 0.000, 0.500).

For the excess energy over the best structure of this formula in the dataset, the calculation gives 0.0 meV per atom. The calculation puts the total energy at -3.1516 eV per atom. The formation energy (no corrections) is 0.3315 eV per atom.


Below is a relaxed structure of Al2CdRh, with properties calculated at the PBE-GGA level.

It has space group I-42d (No. 122), with a = 4.032 Å, b = 4.032 Å, c = 17.885 Å, α = 90.00°, β = 90.00° and γ = 90.00°. The distinct sites, in fractional coordinates, are Al at (0.220, 0.250, 0.125), Cd at (0.000, 0.000, 0.500) and Rh at (0.000, 0.000, 0.000).

The calculation puts the total energy at -3.9482 eV per atom. The formation energy from the elements is 0.0 eV per formula unit.


Below is a relaxed structure of Eu2NiTe, with properties calculated at the PBE-GGA level.

It has space group R-3m (No. 166, hexagonal axes), with a = 4.3546 Å, b = 4.3546 Å, c = 21.8035 Å, α = 90.00°, β = 90.00° and γ = 120.00°. The distinct sites, in fractional coordinates, are Eu at (0.0000, 0.0000, 0.2408), Ni at (0.0000, 0.0000, 0.5000) and Te at (0.0000, 0.0000, 0.0000).

For the excess energy over the best structure of this formula in the dataset, the calculation gives 0.0 meV per atom. The calculation puts the total energy at -8.0437 eV per atom. The formation energy (no corrections) is -0.6758 eV per atom.


Below is a relaxed structure of Tb2SiW, with properties calculated at the PBE-GGA level.

It has space group R-3m (No. 166, hexagonal axes), with a = 3.3096 Å, b = 3.3096 Å, c = 28.0982 Å, α = 90.00°, β = 90.00° and γ = 120.00°. The distinct sites, in fractional coordinates, are Tb at (0.0000, 0.0000, 0.2479), Si at (0.0000, 0.0000, 0.5000) and W at (0.0000, 0.0000, 0.0000).

The calculation puts the total energy at -6.5284 eV per atom. The formation energy (no corrections) is 0.3807 eV per atom.


Below is a relaxed structure of Nd6Y12Er, with properties calculated at the PBE-GGA level.

It has space group R-3m (No. 166, hexagonal axes), with a = 11.1941 Å, b = 11.1941 Å, c = 17.6655 Å, α = 90.00°, β = 90.00° and γ = 120.00°. The distinct sites, in fractional coordinates, are Nd at (0.0710, 0.5355, 0.2666), Y at (0.1003, 0.5501, 0.9134), Y at (0.1064, 0.2127, 0.9084) and Er at (0.0000, 0.0000, 0.5000).

For the excess energy over the best structure of this formula in the dataset, the calculation gives 0.0 meV per atom. The calculation puts the total energy at -5.7102 eV per atom. The formation energy from the elements is 2.2 eV per formula unit.


Below is a relaxed structure of AcTbPm3Sm, with properties calculated at the PBE-GGA level.

It has space group P2_1/m (No. 11), with a = 8.253 Å, b = 5.223 Å, c = 10.428 Å, α = 90.00°, β = 108.60° and γ = 90.00°. The distinct sites, in fractional coordinates, are Ac at (0.169, 0.250, 0.292), Tb at (0.498, 0.250, 0.627), Pm at (0.172, 0.250, 0.793), Pm at (0.172, 0.750, 0.040), Pm at (0.172, 0.750, 0.546) and Sm at (0.496, 0.750, 0.876).

The calculation puts the total energy at -4.5839 eV per atom. The formation energy from the elements is 0.2 eV per formula unit.